# KNdHfFeO6

A relaxed KNdHfFeO6 crystal (PBE with a Hubbard U, the Alexandria database).

The structure belongs to space group F-43m (No. 216); the cell edges are 7.997, 7.997 and 7.997 Å and the angles 90.00°, 90.00° and 90.00°. The distinct sites, in fractional coordinates, are K at (0.000, 0.000, 0.000), Nd at (0.000, 0.000, 0.500), Hf at (0.250, 0.250, 0.750), Fe at (0.250, 0.250, 0.250) and O at (0.006, 0.250, 0.250).

Its uncorrected energy is -7.513 eV per atom. The value obtained for the size of the total moment is 0.410 μB/atom.